# CaPaBiPb | Alexandria via LeMat-Bulk | PBE-GGA | optimized geometry
data_CaPaBiPb
_space_group_name_H-M_alt 'F -4 3 m'
_space_group_IT_number 216
_space_group_name_Hall 'F -4 2 3'
_cell_length_a 7.759
_cell_length_b 7.759
_cell_length_c 7.759
_cell_angle_alpha 90.00
_cell_angle_beta 90.00
_cell_angle_gamma 90.00
loop_
_atom_site_label
_atom_site_type_symbol
_atom_site_fract_x
_atom_site_fract_y
_atom_site_fract_z
_atom_site_occupancy
Ca1 Ca 0.000 0.000 0.000 1
Pa1 Pa 0.000 0.000 0.500 1
Bi1 Bi 0.250 0.250 0.250 1
Pb1 Pb 0.250 0.250 0.750 1
# ΔH_f (0 K) = -0.14 eV/atom
# DOS(E_F) = 17.59 states/eV per cell